Record 1
First-principles (SCAN) data for ZnAgIBr2 at its PBEsol-relaxed geometry, as listed in Alexandria via LeMat-Bulk.

Results
Its space group is No. 123.

Cell: 5.835 5.835 5.265 Å, 90.00 90.00 90.00°
Sites, in units of the cell vectors:
Zn (0.000, 0.000, 0.000)
Ag (0.500, 0.500, 0.000)
I (0.500, 0.500, 0.500)
Br (0.000, 0.500, 0.500)
Br (0.500, 0.000, 0.500)


Record 2
First-principles (SCAN) data for In2AgBr at its PBEsol-relaxed geometry, as listed in Alexandria via LeMat-Bulk.

Results
Its space group is No. 44.

Cell: 6.218 6.218 6.218 Å, 149.02 129.56 60.38°
Sites, in units of the cell vectors:
In (0.000, 0.000, 0.000)
In (0.736, 0.236, 0.500)
Ag (0.222, 0.722, 0.500)
Br (0.461, 0.461, 0.000)


Record 3
First-principles (SCAN) data for In2AgBr at its PBEsol-relaxed geometry, as listed in Alexandria via LeMat-Bulk.

Results
Its space group is No. 166.

Cell: 8.233 8.233 8.233 Å, 26.54 26.54 26.54°
Sites, in units of the cell vectors:
In (0.240, 0.240, 0.240)
In (0.760, 0.760, 0.760)
Ag (0.500, 0.500, 0.500)
Br (0.000, 0.000, 0.000)


Record 4
First-principles (SCAN) data for InAg2Br at its PBEsol-relaxed geometry, as listed in Alexandria via LeMat-Bulk.

Results
Its space group is No. 65.

Cell: 3.347 3.347 8.208 Å, 90.00 90.00 111.65°
Sites, in units of the cell vectors:
In (0.000, 0.000, 0.000)
Ag (0.500, 0.500, 0.250)
Ag (0.500, 0.500, 0.750)
Br (0.000, 0.000, 0.500)


Record 5
First-principles (SCAN) data for In2Ag2Br at its PBEsol-relaxed geometry, as listed in Alexandria via LeMat-Bulk.

Results
Its space group is No. 139.

Cell: 8.032 8.032 8.032 Å, 151.63 151.63 40.55°
Sites, in units of the cell vectors:
In (0.103, 0.103, 0.000)
In (0.897, 0.897, 0.000)
Ag (0.250, 0.750, 0.500)
Ag (0.750, 0.250, 0.500)
Br (0.500, 0.500, 0.000)


Record 6
First-principles (SCAN) data for InAg2Br at its PBEsol-relaxed geometry, as listed in Alexandria via LeMat-Bulk.

Results
Its space group is No. 12.

Cell: 5.807 5.807 3.501 Å, 107.47 107.47 116.97°
Sites, in units of the cell vectors:
In (0.000, 0.000, 0.000)
Ag (0.000, 0.500, 0.000)
Ag (0.500, 0.000, 0.000)
Br (0.500, 0.500, 0.000)


no.,formation energy without anion corrections (meV/atom),DOS(E_F) (states/eV per cell)
1,420,2.18
2,-88,0.82
3,-153,1.21
4,1,0.95
5,-8,1.99
6,49,0.74